{
  "formula": "Ti2AlSe4",
  "functional": "GGA-PBE",
  "state": "optimized geometry",
  "lattice": [[0.000, 5.372, 5.372], [5.372, 0.000, 5.372], [5.372, 5.372, 0.000]],
  "species": ["Ti", "Ti", "Ti", "Ti", "Al", "Al", "Se", "Se", "Se", "Se", "Se", "Se", "Se", "Se"],
  "fractional_positions": [[0.000, 0.000, 0.000], [0.000, 0.000, 0.500], [0.000, 0.500, 0.000], [0.500, 0.000, 0.000], [0.375, 0.375, 0.375], [0.625, 0.625, 0.625], [0.234, 0.755, 0.755], [0.245, 0.245, 0.245], [0.245, 0.245, 0.766], [0.245, 0.766, 0.245], [0.755, 0.234, 0.755], [0.755, 0.755, 0.234], [0.755, 0.755, 0.755], [0.766, 0.245, 0.245]],
  "dft_energy_ev_per_cell": -80.39,
  "raw_formation_energy_ev_per_atom": -0.96,
  "polymorph_energy_mev_per_atom": 25.4,
  "dos_ef_per_ev_cell": 8.44
}